Entry from Alexandria: ScCd2SiC after structural relaxation (PBE).

a = 5.635 Å, b = 3.957 Å, c = 5.635 Å
α = 90.00°, β = 90.00°, γ = 90.00°
Fractional positions:
Sc (0.000, 0.000, 0.000)
Si (0.500, 0.500, 0.500)
C (0.000, 0.500, 0.000)
Cd (0.000, 0.000, 0.500)
Cd (0.500, 0.000, 0.000)

ΔE_f (raw) = 1.336 eV per atom